Entry 1:
This record from Alexandria describes an optimized crystal structure of YThP2. The functional is GGA-PBE.

Computed properties:
- Energy relative to the lowest polymorph listed for this composition: 0.70 eV per formula unit
- VASP energy: -30.4 eV per cell
- Formation enthalpy at 0 K: -136.74 kJ/mol of atoms

Unit cell a=4.0398 b=4.0398 c=7.3302 alpha=74.00 beta=74.00 gamma=60.00
Positions (direct):
Y: 0.4957 0.4957 0.5130
Th: 0.6700 0.6700 0.9901
P: 0.0847 0.0847 0.7459
P: 0.2496 0.2496 0.2511



Entry 2:
This record from Alexandria describes an optimized crystal structure of Y2AsRu. The functional is GGA-PBE.

Computed properties:
- VASP energy: -29.1 eV per cell
- Formation enthalpy at 0 K: -52.99 kJ/mol of atoms

Unit cell a=7.6792 b=7.6792 c=7.6792 alpha=28.98 beta=28.98 gamma=28.98
Positions (direct):
Y: 0.9982 0.9982 0.9982
Y: 0.5018 0.5018 0.5018
Ru: 0.7500 0.7500 0.7500
As: 0.2500 0.2500 0.2500



Entry 3:
This record from Alexandria describes an optimized crystal structure of TmPuN2. The functional is GGA-PBE.

Computed properties:
- VASP energy: -82.7 eV per cell
- ΔE_f (raw): -142.1 kJ/mol of atoms

Unit cell a=3.3997 b=3.3997 c=11.5159 alpha=90.00 beta=90.00 gamma=120.00
Positions (direct):
Tm: 0.0000 0.0000 0.5000
Tm: 0.0000 0.0000 0.0000
Pu: 0.6667 0.3333 0.2500
Pu: 0.3333 0.6667 0.7500
N: 0.3333 0.6667 0.3797
N: 0.6667 0.3333 0.8797
N: 0.6667 0.3333 0.6203
N: 0.3333 0.6667 0.1203



Entry 4:
This record from Alexandria describes an optimized crystal structure of Sr2ZrCu. The functional is GGA-PBE.

Computed properties:
- Energy relative to the lowest polymorph listed for this composition: 0.51 eV per formula unit
- VASP energy: -14.7 eV per cell
- Formation enthalpy at 0 K: 31.19 kJ/mol of atoms

Unit cell a=6.8857 b=6.8857 c=5.7315 alpha=65.41 beta=65.41 gamma=30.59
Positions (direct):
Cu: 0.2256 0.2256 0.2732
Sr: 0.9564 0.9564 0.0441
Sr: 0.7538 0.7538 0.7463
Zr: 0.5641 0.5641 0.4363



Entry 5:
This record from Alexandria describes an optimized crystal structure of Ba2HPd. The functional is GGA-PBE.

Computed properties:
- Energy relative to the lowest polymorph listed for this composition: 0.44 eV per formula unit
- VASP energy: -13.5 eV per cell

Unit cell a=3.7733 b=3.7733 c=7.7419 alpha=90.00 beta=90.00 gamma=90.00
Positions (direct):
H: 0.5000 0.5000 0.0000
Ba: 0.0000 0.0000 0.7507
Ba: 0.0000 0.0000 0.2493
Pd: 0.5000 0.5000 0.5000



Entry 6:
This record from Alexandria describes an optimized crystal structure of Ca2Tl. The functional is GGA-PBE.

Computed properties:
- VASP energy: -14.6 eV per cell
- Formation enthalpy at 0 K: -29.52 kJ/mol of atoms

Unit cell a=6.4740 b=6.4740 c=6.4740 alpha=106.87 beta=106.87 gamma=114.82
Positions (direct):
Ca: 0.3227 0.1773 0.5000
Ca: 0.6773 0.8227 0.5000
Ca: 0.1773 0.6773 0.8545
Ca: 0.8227 0.3227 0.1455
Tl: 0.7500 0.7500 0.0000
Tl: 0.2500 0.2500 0.0000



Entry 7:
This record from Alexandria describes an optimized crystal structure of LiCuNi2C. The functional is GGA-PBE.

Computed properties:
- Energy relative to the lowest polymorph listed for this composition: 0.00 eV per formula unit
- VASP energy: -26.7 eV per cell
- Formation enthalpy at 0 K: 1.29 kJ/mol of atoms

Unit cell a=3.7267 b=3.7267 c=3.9203 alpha=90.00 beta=90.00 gamma=90.00
Positions (direct):
Ni: 0.0000 0.5000 0.0000
Ni: 0.5000 0.0000 0.0000
C: 0.0000 0.0000 0.0000
Cu: 0.0000 0.0000 0.5000
Li: 0.5000 0.5000 0.5000



Entry 8:
This record from Alexandria describes an optimized crystal structure of YRe. The functional is GGA-PBE.

Computed properties:
- VASP energy: -36.2 eV per cell
- Formation enthalpy at 0 K: 39.63 kJ/mol of atoms

Unit cell a=3.7553 b=3.7553 c=8.4985 alpha=90.00 beta=90.00 gamma=120.00
Positions (direct):
Re: 0.0000 0.0000 0.0594
Re: 0.3333 0.6667 0.1906
Y: 0.0000 0.0000 0.4503
Y: 0.3333 0.6667 0.7997



Entry 9:
This record from Alexandria describes an optimized crystal structure of ReMo2Rh. The functional is GGA-PBE.

Computed properties:
- Energy relative to the lowest polymorph listed for this composition: 0.12 eV per formula unit
- VASP energy: -41.4 eV per cell
- Formation enthalpy at 0 K: 2.61 kJ/mol of atoms

Unit cell a=2.7766 b=3.9152 c=5.6079 alpha=90.00 beta=90.00 gamma=90.00
Positions (direct):
Mo: 0.0000 0.0000 0.0024
Mo: 0.0000 0.0000 0.4976
Re: 0.5000 0.5000 0.2500
Rh: 0.5000 0.5000 0.7500



Entry 10:
This record from Alexandria describes an optimized crystal structure of AlCo2W. The functional is GGA-PBE.

Computed properties:
- VASP energy: -30.6 eV per cell
- Formation enthalpy at 0 K: 8.10 kJ/mol of atoms

Unit cell a=4.1591 b=4.1591 c=4.1591 alpha=60.00 beta=60.00 gamma=60.00
Positions (direct):
Co: 0.0000 0.0000 0.0000
Co: 0.2500 0.2500 0.2500
Al: 0.5000 0.5000 0.5000
W: 0.7500 0.7500 0.7500



Entry 11:
This record from Alexandria describes an optimized crystal structure of ThSi2Au. The functional is GGA-PBE.

Computed properties:
- VASP energy: -46.9 eV per cell
- ΔE_f (raw): -45.7 kJ/mol of atoms

Unit cell a=4.4311 b=6.4629 c=6.4629 alpha=120.19 beta=90.00 gamma=90.00
Positions (direct):
Th: 0.2500 0.7774 0.1107
Th: 0.7500 0.1107 0.7774
Si: 0.2500 0.2943 0.5647
Si: 0.7500 0.5647 0.2943
Si: 0.2500 0.2886 0.1569
Si: 0.7500 0.1569 0.2886
Au: 0.2500 0.7263 0.5662
Au: 0.7500 0.5662 0.7263



Entry 12:
This record from Alexandria describes an optimized crystal structure of SiH3O. The functional is GGA-PBE.

Computed properties:
- Energy relative to the lowest polymorph listed for this composition: 0.00 eV per formula unit
- VASP energy: -48.3 eV per cell

Unit cell a=6.0861 b=4.7872 c=5.4586 alpha=86.79 beta=121.18 gamma=105.57
Positions (direct):
Si: 0.6255 0.1438 0.1029
Si: 0.1012 0.6741 0.9169
H: 0.0496 0.3576 0.8527
H: 0.1437 0.7465 0.2022
H: 0.5240 0.5476 0.8798
H: 0.8872 0.0847 0.2185
H: 0.5859 0.2391 0.3291
H: 0.8939 0.7943 0.6803
O: 0.3941 0.8292 0.9341
O: 0.6116 0.3997 0.8837



Question: VASP energy of number 3 (TmPuN2)?
Answer: -82.7 eV per cell



Question: Among the records above, which one has the highest VASP energy?
Answer: Ba2HPd



Question: What is the VASP energy in the twelfth record?
Answer: -48.3 eV per cell



Question: The lowest VASP energy belongs to which entry?
Answer: TmPuN2